# MnTlCu

A relaxed MnTlCu crystal (PBE, Alexandria via LeMat-Bulk).

Lattice parameters (Å, degrees): 6.1322 6.1322 6.1322 90.00 90.00 90.00
Space group F-43m (No. 216)
Inequivalent atoms, fractional coordinates:
Mn 0.0000 0.0000 0.0000
Tl 0.0000 0.0000 0.5000
Cu 0.2500 0.2500 0.7500

## Properties
energy of formation from the pure elements = 1.308 eV per formula unit

***

# MnTl2Cu

A relaxed MnTl2Cu crystal (PBE, Alexandria via LeMat-Bulk).

Lattice parameters (Å, degrees): 8.8357 3.2785 5.9257 90.00 103.09 90.00
Space group C2/m (No. 12)
Inequivalent atoms, fractional coordinates:
Mn 0.0000 0.0000 0.0000
Tl 0.2433 0.0000 0.7404
Cu 0.0000 0.5000 0.5000

## Properties
energy of formation from the pure elements = 1.909 eV per formula unit

***

# MnTl2Cu

A relaxed MnTl2Cu crystal (PBE, Alexandria via LeMat-Bulk).

Lattice parameters (Å, degrees): 4.1406 4.1406 9.5150 90.00 90.00 90.00
Space group I-4m2 (No. 119)
Inequivalent atoms, fractional coordinates:
Mn 0.0000 0.0000 0.0000
Tl 0.0000 0.0000 0.5000
Tl 0.0000 0.5000 0.7500
Cu 0.0000 0.5000 0.2500

## Properties
energy of formation from the pure elements = 1.900 eV per formula unit

***

# Mn4TlCu

A relaxed Mn4TlCu crystal (PBE, Alexandria via LeMat-Bulk).

Lattice parameters (Å, degrees): 6.9097 6.9097 6.9097 90.00 90.00 90.00
Space group F-43m (No. 216)
Inequivalent atoms, fractional coordinates:
Mn 0.1241 0.1241 0.3759
Tl 0.0000 0.0000 0.0000
Cu 0.2500 0.2500 0.7500

## Properties
energy of formation from the pure elements = 3.276 eV per formula unit

***

# MnTl2Cu

A relaxed MnTl2Cu crystal (PBE, Alexandria via LeMat-Bulk).

Lattice parameters (Å, degrees): 3.1999 3.3660 7.3959 90.00 90.00 90.00
Space group Pmmm (No. 47)
Inequivalent atoms, fractional coordinates:
Mn 0.0000 0.0000 0.0000
Tl 0.5000 0.5000 0.2578
Cu 0.0000 0.0000 0.5000

## Properties
energy of formation from the pure elements = 1.826 eV per formula unit

***

# MnTlCu2

A relaxed MnTlCu2 crystal (PBE, Alexandria via LeMat-Bulk).

Lattice parameters (Å, degrees): 5.8631 6.4575 3.3162 90.00 91.95 90.00
Space group C2/m (No. 12)
Inequivalent atoms, fractional coordinates:
Mn 0.0000 0.0000 0.0000
Tl 0.0000 0.5000 0.0000
Cu 0.2500 0.2500 0.5000

## Properties
energy of formation from the pure elements = 1.411 eV per formula unit

***

# MnTl2Cu

A relaxed MnTl2Cu crystal (PBE, Alexandria via LeMat-Bulk).

Lattice parameters (Å, degrees): 3.2321 3.2979 8.1402 90.00 90.00 90.00
Space group Pmm2 (No. 25)
Inequivalent atoms, fractional coordinates:
Mn 0.0000 0.0000 0.0000
Tl 0.0000 0.0000 0.3880
Tl 0.5000 0.5000 0.7419
Cu 0.5000 0.5000 0.1403

## Properties
energy of formation from the pure elements = 1.257 eV per formula unit

***

# MnTlCu2

A relaxed MnTlCu2 crystal (PBE, Alexandria via LeMat-Bulk).

Lattice parameters (Å, degrees): 4.0259 4.0259 3.8688 90.00 90.00 90.00
Space group P4/mmm (No. 123)
Inequivalent atoms, fractional coordinates:
Mn 0.0000 0.0000 0.0000
Tl 0.5000 0.5000 0.0000
Cu 0.0000 0.5000 0.5000

## Properties
energy of formation from the pure elements = 1.303 eV per formula unit

***

# MnTl2Cu

A relaxed MnTl2Cu crystal (PBE, Alexandria via LeMat-Bulk).

Lattice parameters (Å, degrees): 4.3832 4.3832 18.9606 90.00 90.00 90.00
Space group I-42d (No. 122)
Inequivalent atoms, fractional coordinates:
Mn 0.0000 0.0000 0.0000
Tl 0.2450 0.2500 0.6250
Cu 0.0000 0.0000 0.5000

## Properties
energy of formation from the pure elements = 2.331 eV per formula unit

***

# MnTl2Cu

A relaxed MnTl2Cu crystal (PBE, Alexandria via LeMat-Bulk).

Lattice parameters (Å, degrees): 3.3744 3.3744 25.7667 90.00 90.00 120.00
Space group R-3m (No. 166, hexagonal axes)
Inequivalent atoms, fractional coordinates:
Mn 0.0000 0.0000 0.0000
Tl 0.0000 0.0000 0.2456
Cu 0.0000 0.0000 0.5000

## Properties
energy of formation from the pure elements = 1.909 eV per formula unit

***

# MnTlCu

A relaxed MnTlCu crystal (PBE, Alexandria via LeMat-Bulk).

Lattice parameters (Å, degrees): 3.1958 3.1958 6.3214 90.00 90.00 120.00
Space group P3m1 (No. 156)
Inequivalent atoms, fractional coordinates:
Mn 0.0000 0.0000 0.0000
Tl 0.6667 0.3333 0.3779
Cu 0.3333 0.6667 0.7262

## Properties
energy of formation from the pure elements = 1.421 eV per formula unit

***

# MnTl2Cu

A relaxed MnTl2Cu crystal (PBE, Alexandria via LeMat-Bulk).

Lattice parameters (Å, degrees): 7.0045 7.0045 7.0045 90.00 90.00 90.00
Space group F-43m (No. 216)
Inequivalent atoms, fractional coordinates:
Mn 0.0000 0.0000 0.0000
Tl 0.0000 0.0000 0.5000
Tl 0.2500 0.2500 0.7500
Cu 0.2500 0.2500 0.2500

## Properties
energy of formation from the pure elements = 2.233 eV per formula unit